First-principles (GGA-PBE) data for a geometry-optimized LiCaThIr structure, as listed in Alexandria.

Cell and atoms, written as CIF:
```
data_LiCaThIr
_cell_length_a 7.105
_cell_length_b 7.105
_cell_length_c 7.105
_cell_angle_alpha 90.00
_cell_angle_beta 90.00
_cell_angle_gamma 90.00
_symmetry_space_group_name_H-M 'F -4 3 m'
_symmetry_Int_Tables_number 216
_symmetry_space_group_name_Hall 'F -4 2 3'
loop_
_atom_site_label
_atom_site_fract_x
_atom_site_fract_y
_atom_site_fract_z
Li1 0.000 0.000 0.000
Ca1 0.250 0.250 0.750
Th1 0.250 0.250 0.250
Ir1 0.000 0.000 0.500
```

First-principles (GGA-PBE) data for a geometry-optimized LiCa2TlIr structure, as listed in Alexandria.

Cell and atoms, written as CIF:
```
data_LiCa2TlIr
_cell_length_a 5.470
_cell_length_b 5.470
_cell_length_c 5.317
_cell_angle_alpha 90.00
_cell_angle_beta 90.00
_cell_angle_gamma 90.00
_symmetry_space_group_name_H-M 'P 4/m m m'
_symmetry_Int_Tables_number 123
_symmetry_space_group_name_Hall '-P 4 2'
loop_
_atom_site_label
_atom_site_fract_x
_atom_site_fract_y
_atom_site_fract_z
Li1 0.000 0.000 0.000
Ca1 0.000 0.500 0.500
Tl1 0.500 0.500 0.000
Ir1 0.500 0.500 0.500
```

First-principles (GGA-PBE) data for a geometry-optimized LiCaTmIr structure, as listed in Alexandria.

Cell and atoms, written as CIF:
```
data_LiCaTmIr
_cell_length_a 6.935
_cell_length_b 6.935
_cell_length_c 6.935
_cell_angle_alpha 90.00
_cell_angle_beta 90.00
_cell_angle_gamma 90.00
_symmetry_space_group_name_H-M 'F -4 3 m'
_symmetry_Int_Tables_number 216
_symmetry_space_group_name_Hall 'F -4 2 3'
loop_
_atom_site_label
_atom_site_fract_x
_atom_site_fract_y
_atom_site_fract_z
Li1 0.000 0.000 0.000
Ca1 0.250 0.250 0.750
Tm1 0.250 0.250 0.250
Ir1 0.000 0.000 0.500
```

First-principles (GGA-PBE) data for a geometry-optimized LiCa2YIr structure, as listed in Alexandria.

Cell and atoms, written as CIF:
```
data_LiCa2YIr
_cell_length_a 5.596
_cell_length_b 5.596
_cell_length_c 5.352
_cell_angle_alpha 90.00
_cell_angle_beta 90.00
_cell_angle_gamma 90.00
_symmetry_space_group_name_H-M 'P 4/m m m'
_symmetry_Int_Tables_number 123
_symmetry_space_group_name_Hall '-P 4 2'
loop_
_atom_site_label
_atom_site_fract_x
_atom_site_fract_y
_atom_site_fract_z
Li1 0.000 0.000 0.000
Ca1 0.000 0.500 0.500
Y1 0.500 0.500 0.000
Ir1 0.500 0.500 0.500
```

| no. | ρ (Mg/m³) | raw total energy (eV/atom) |
| --- | --- | --- |
| 1 | 8.73 | -5.378 |
| 2 | 5.05 | -3.552 |
| 3 | 8.13 | -4.719 |
| 4 | 3.65 | -4.444 |